1.
## Sr2BiC (GGA-PBE)

Data for a relaxed structure of Sr2BiC.

The calculation puts the formation energy at 0.42 eV per atom. The calculated total energy comes out at -59.16 eV for the cell shown.

The structure belongs to space group I-42d (No. 122); the cell edges are 8.334, 8.334 and 6.814 Å and the angles 90.00°, 90.00° and 90.00°. Symmetry generates all atoms from Sr at (0.166, 0.250, 0.125), Bi at (0.000, 0.000, 0.500) and C at (0.000, 0.000, 0.000).

---

2.
## Ac2Ge3Ir4Au (GGA-PBE)

Data for a relaxed structure of Ac2Ge3Ir4Au.

The calculation puts the formation energy at -0.62 eV per atom. The calculated total energy comes out at -66.96 eV for the cell shown.

The structure belongs to space group P-4m2 (No. 115); the cell edges are 4.332, 4.332 and 10.803 Å and the angles 90.00°, 90.00° and 90.00°. Symmetry generates all atoms from Ac at (0.000, 0.500, 0.248), Ge at (0.000, 0.000, 0.000), Ge at (0.000, 0.500, 0.622), Ir at (0.000, 0.000, 0.500), Ir at (0.000, 0.500, 0.852), Ir at (0.500, 0.500, 0.500) and Au at (0.500, 0.500, 0.000).

---

3.
## SmTm5Mg4 (GGA-PBE)

Data for a relaxed structure of SmTm5Mg4.

The calculation puts the formation energy at -0.04 eV per atom. The calculated total energy comes out at -33.81 eV for the cell shown.

The structure belongs to space group P4/mmm (No. 123); the cell edges are 3.690, 3.690 and 20.292 Å and the angles 90.00°, 90.00° and 90.00°. Symmetry generates all atoms from Sm at (0.000, 0.000, 0.000), Tm at (0.500, 0.500, 0.119), Tm at (0.500, 0.500, 0.311), Tm at (0.500, 0.500, 0.500), Mg at (0.000, 0.000, 0.216) and Mg at (0.000, 0.000, 0.405).

---

4.
## K3RbPd (GGA-PBE)

Data for a relaxed structure of K3RbPd.

The calculation puts the formation energy at 0.02 eV per atom. The calculated total energy comes out at -18.66 eV for the cell shown.

The structure belongs to space group P2_1/m (No. 11); the cell edges are 10.830, 4.888 and 11.907 Å and the angles 90.00°, 112.08° and 90.00°. Symmetry generates all atoms from K at (0.013, 0.250, 0.244), K at (0.269, 0.750, 0.162), K at (0.311, 0.250, 0.907), Rb at (0.338, 0.750, 0.577) and Pd at (0.040, 0.250, 0.987).

---

5.
## LuIBr (GGA-PBE)

Data for a relaxed structure of LuIBr.

The calculated total energy comes out at -11.52 eV for the cell shown. The calculation puts the uncorrected formation energy at -1.26 eV/atom.

The structure belongs to space group P3m1 (No. 156); the cell edges are 3.9312, 3.9312 and 7.7048 Å and the angles 90.00°, 90.00° and 120.00°. Symmetry generates all atoms from Lu at (0.0000, 0.0000, 0.0000), I at (0.3333, 0.6667, 0.7467) and Br at (0.6667, 0.3333, 0.2236).

---

6.
## ZrBeCl2 (GGA-PBE)

Data for a relaxed structure of ZrBeCl2.

The calculated total energy comes out at -34.53 eV for the cell shown. The calculation puts the uncorrected formation energy at -0.32 eV/atom.

The structure belongs to space group Imm2 (No. 44); the cell edges are 3.148, 4.649 and 13.508 Å and the angles 90.00°, 90.00° and 90.00°. Symmetry generates all atoms from Zr at (0.000, 0.000, 0.000), Be at (0.000, 0.500, 0.653), Cl at (0.000, 0.000, 0.534) and Cl at (0.000, 0.500, 0.347).

---

Question: Among the records above, which one has the highest calculated total energy?
Answer: LuIBr